Below is crystalline PrDy3Er3 at its relaxed geometry, with properties calculated at the GGA-PBE level.

Values from the calculation:
ΔE_f (eV/atom): 0.249
Total magnetic moment (Bohr magnetons per cell): 0.00
Total DFT energy (no corrections) (eV/atom): -4.362

Unit cell a=9.8362 b=9.8362 c=8.1642 alpha=90.00 beta=90.00 gamma=120.00
Space group R3m (No. 160, hexagonal axes)
Asymmetric unit:
Pr1 0.0000 0.0000 0.0000 x3
Dy1 0.0969 0.5484 0.9625 x9
Er1 0.0654 0.5327 0.3883 x9

Below is crystalline Zn5NiPt6 at its relaxed geometry, with properties calculated at the GGA-PBE level.

Values from the calculation:
ΔE_f (eV/atom): -0.495
Total magnetic moment (Bohr magnetons per cell): 0.00
Total DFT energy (no corrections) (eV/atom): -4.528

Unit cell a=4.0366 b=7.1070 c=12.0810 alpha=90.00 beta=90.00 gamma=90.00
Space group Immm (No. 71)
Asymmetric unit:
Zn1 0.0000 0.0000 0.0000 x2
Zn2 0.0000 0.0000 0.3384 x4
Zn3 0.0000 0.5000 0.3327 x4
Ni1 0.0000 0.5000 0.0000 x2
Pt1 0.0000 0.2499 0.1660 x8
Pt2 0.0000 0.2500 0.5000 x4

Below is crystalline AcDyTh2As4 at its relaxed geometry, with properties calculated at the GGA-PBE level.

Values from the calculation:
ΔE_f (eV/atom): -1.422
Total magnetic moment (Bohr magnetons per cell): 0.00
Total DFT energy (no corrections) (eV/atom): -6.690

Unit cell a=7.4363 b=4.2975 c=7.4448 alpha=90.00 beta=109.50 gamma=90.00
Space group P2/m (No. 10)
Asymmetric unit:
Ac1 0.0000 0.0000 0.0000 x1
Dy1 0.0000 0.5000 0.5000 x1
Th1 0.5000 0.0000 0.5000 x1
Th2 0.5000 0.5000 0.0000 x1
As1 0.2520 0.0000 0.7412 x2
As2 0.2600 0.5000 0.2632 x2